[1]
Entry from the Alexandria database: crystalline ZnP2O6 at its relaxed geometry (PBEsol).

Geometry as POSCAR:
```
ZnP2O6
1.0
-3.117 -1.078 3.744
2.441 -5.617 2.474
2.856 2.819 5.247
Zn P O
2 4 12
Cartesian
2.028 1.559 5.858
0.152 -5.436 5.607
3.018 -1.514 6.724
0.795 -0.302 3.369
-0.838 -2.363 4.741
1.385 -3.575 8.096
2.584 -0.095 6.848
1.356 0.870 4.097
-0.405 -3.782 4.617
0.824 -4.747 7.368
4.183 -2.005 7.556
-0.385 -0.099 2.443
-1.132 -2.072 6.294
1.748 -2.449 7.008
3.312 -1.804 5.171
0.431 -1.428 4.457
2.564 -3.777 9.022
-2.004 -1.872 3.909
```

Calculated values
uncorrected formation energy	-2.036	eV per atom

---

[2]
Entry from the Alexandria database: crystalline ZnP2O6 at its relaxed geometry (PBEsol).

Geometry as POSCAR:
```
ZnP2O6
1.0
5.424 -0.002 0.005
0.017 5.424 0.005
0.401 0.400 16.454
Zn P O
4 8 24
Cartesian
2.163 5.474 14.484
0.807 5.148 1.616
5.281 1.943 6.257
5.351 0.989 9.843
2.590 2.409 2.036
2.506 0.187 5.822
2.619 2.781 10.263
4.177 3.957 3.959
1.235 4.161 8.047
4.366 1.420 16.274
0.397 2.705 14.049
4.173 4.362 12.186
1.216 3.819 14.611
4.953 4.959 11.067
3.623 1.002 6.384
2.013 3.673 1.492
5.212 0.205 0.010
1.226 0.863 5.465
1.068 1.422 13.692
1.689 1.260 2.315
1.467 1.885 10.542
3.705 5.231 13.308
3.051 0.730 16.057
2.265 4.383 6.844
2.946 4.821 4.515
3.881 2.200 9.719
3.820 1.995 1.078
0.540 2.849 7.830
2.882 3.585 11.625
5.032 3.128 12.742
2.209 4.013 9.305
3.394 2.670 3.398
0.424 5.411 8.237
5.044 3.486 5.081
4.591 2.450 15.071
4.776 4.736 2.840
```

Calculated values
uncorrected formation energy	-2.029	eV per atom

---

[3]
Entry from the Alexandria database: crystalline ZrZnP2O at its relaxed geometry (PBEsol).

Geometry as POSCAR:
```
ZrZnP2O
1.0
-2.976 -0.146 -2.550
-1.779 -4.199 2.317
-2.816 2.915 3.120
P Zn O Zr
2 1 1 1
Cartesian
-1.408 1.458 1.560
-0.890 -2.100 1.158
-3.786 -0.715 1.444
-1.488 -0.073 -1.275
0.000 0.000 0.000
```

Calculated values
uncorrected formation energy	-0.279	eV per atom

---

[4]
Entry from the Alexandria database: crystalline ZrP2O7 at its relaxed geometry (PBEsol).

Geometry as POSCAR:
```
ZrP2O7
1.0
-4.509 2.404 1.869
-1.021 -5.213 4.244
4.574 3.952 5.954
O P Zr
14 4 2
Cartesian
-2.302 -0.629 7.421
-1.071 3.060 5.648
-3.303 0.445 3.053
0.256 1.812 9.881
1.347 1.771 4.646
0.115 -1.918 6.419
2.348 0.697 9.015
-1.211 -0.670 2.186
0.389 -2.344 3.956
3.164 1.083 6.243
-1.110 1.676 3.087
0.154 -0.534 8.980
-2.255 1.202 0.934
1.777 -0.631 5.099
1.093 -2.041 5.265
2.460 0.780 4.934
-1.958 0.638 2.376
1.002 0.504 9.691
-0.510 -2.607 2.122
0.033 3.178 3.912
```

Calculated values
uncorrected formation energy	-2.658	eV per atom